Compound: Y2BeGe
Source: Alexandria
Functional: PBE
Structure: optimized geometry

The calculated volume is 24.05 Å³/atom. Its energy above the most stable polymorph in this dataset is 1.39 eV/f.u. The density of states at the Fermi level comes out at 5.30 states/eV per cell. For the total energy, the calculation gives -0.3878 Ry per atom. The mass density is 4.48 g/cm³.

abc: 7.5101 7.5101 6.3118
angles: 53.49 53.49 90.00
With the nearest neighbours (Å) after each atom.
Positions (direct):
Y (0.1369, 0.6250, 0.2500)  2 Be 2.73, 2 Ge 2.85
Y (0.6131, 0.1250, 0.2500)  2 Be 2.73, 2 Ge 2.85
Y (0.8750, 0.8631, 0.7500)  2 Be 2.73, 2 Ge 2.85
Y (0.3750, 0.3869, 0.7500)  2 Be 2.73, 2 Ge 2.85
Be (0.5000, 0.5000, 0.0000)  4 Y 2.73
Be (0.2500, 0.7500, 0.5000)  4 Y 2.73
Ge (0.0000, 0.0000, 0.0000)  4 Y 2.85
Ge (0.7500, 0.2500, 0.5000)  4 Y 2.85